The following is a PBE-GGA calculation of crystalline SmNbBr2N at its relaxed geometry, from OQMD via LeMat-Bulk.

Unit cell a=3.563 b=3.563 c=10.026 alpha=90.00 beta=90.00 gamma=120.00
Atoms (fractional coordinates):
Br  0.667  0.333  0.199
Sm  0.667  0.333  0.617
N  0.000  0.000  0.477
Nb  0.333  0.667  0.383
Br  0.333  0.667  0.824

E_tot: -6.47 eV per atom
Symmetry: P3m1
Volume: 110.2 Å³/cell

The following is a PBE-GGA calculation of crystalline LiReNiSn at its relaxed geometry, from OQMD via LeMat-Bulk.

Unit cell a=4.317 b=4.317 c=4.317 alpha=60.00 beta=60.00 gamma=60.00
Atoms (fractional coordinates):
Sn  0.000  0.000  0.000
Re  0.500  0.500  0.500
Li  0.250  0.250  0.250
Ni  0.750  0.750  0.750

E_tot: -5.63 eV per atom
Symmetry: F-43m
Volume: 56.9 Å³/cell

The following is a PBE-GGA calculation of crystalline SrAlPt at its relaxed geometry, from OQMD via LeMat-Bulk.

Unit cell a=4.776 b=4.776 c=4.776 alpha=60.00 beta=60.00 gamma=60.00
Atoms (fractional coordinates):
Sr  0.750  0.750  0.750
Pt  0.000  0.000  0.000
Al  0.250  0.250  0.250

E_tot: -4.30 eV per atom
Symmetry: F-43m
Volume: 77.0 Å³/cell

The following is a PBE-GGA calculation of crystalline DyZr at its relaxed geometry, from OQMD via LeMat-Bulk.

Unit cell a=5.853 b=10.315 c=5.352 alpha=90.00 beta=90.00 gamma=90.00
Atoms (fractional coordinates):
Dy  0.490  0.182  0.000
Dy  0.324  0.666  0.500
Zr  0.018  0.350  0.000
Dy  0.824  0.501  0.500
Dy  0.990  0.985  0.000
Zr  0.518  0.817  0.000
Zr  0.827  0.825  0.500
Dy  0.350  0.991  0.500
Zr  0.491  0.497  0.000
Dy  0.851  0.176  0.500
Zr  0.991  0.670  0.000
Zr  0.327  0.342  0.500

E_tot: -6.51 eV per atom
Symmetry: Pmc2_1
Calculated formation energy: 0.07 eV per atom
Volume: 323.1 Å³/cell

The following is a PBE-GGA calculation of crystalline Er3Mg3CdAu2 at its relaxed geometry, from OQMD via LeMat-Bulk.

Unit cell a=7.672 b=7.672 c=4.071 alpha=90.00 beta=90.00 gamma=120.00
Atoms (fractional coordinates):
Er  0.583  0.583  0.000
Au  0.667  0.333  0.500
Au  0.333  0.667  0.500
Mg  0.258  0.258  0.500
Er  0.417  0.000  0.000
Cd  0.000  0.000  0.000
Er  0.000  0.417  0.000
Mg  0.000  0.742  0.500
Mg  0.742  0.000  0.500

E_tot: -3.39 eV per atom
Symmetry: P-62m
Volume: 207.5 Å³/cell

The following is a PBE-GGA calculation of crystalline RbUCo at its relaxed geometry, from OQMD via LeMat-Bulk.

Unit cell a=4.818 b=4.818 c=4.818 alpha=60.00 beta=60.00 gamma=60.00
Atoms (fractional coordinates):
U  0.750  0.750  0.750
Co  0.000  0.000  0.000
Rb  0.250  0.250  0.250

E_tot: -4.91 eV per atom
Symmetry: F-43m
ΔE to the lowest computed polymorph: 0 meV/atom
Volume: 79.1 Å³/cell

The following is a PBE-GGA calculation of crystalline Bi2PdO4 at its relaxed geometry, from OQMD via LeMat-Bulk.

Unit cell a=5.682 b=5.711 c=12.475 alpha=90.00 beta=90.00 gamma=90.00
Atoms (fractional coordinates):
Bi  0.486  0.043  0.154
Pd  0.000  0.000  0.000
O  0.242  0.799  0.257
Pd  0.000  0.500  0.500
Pd  0.500  0.500  0.000
O  0.197  0.301  0.017
O  0.803  0.801  0.483
O  0.803  0.699  0.983
O  0.742  0.799  0.243
O  0.197  0.199  0.517
O  0.242  0.701  0.757
O  0.697  0.199  0.983
O  0.758  0.201  0.743
O  0.258  0.201  0.757
Bi  0.986  0.457  0.846
Pd  0.500  0.000  0.500
O  0.742  0.701  0.743
Bi  0.514  0.957  0.846
O  0.303  0.699  0.517
Bi  0.486  0.457  0.654
O  0.697  0.301  0.483
Bi  0.014  0.543  0.154
Bi  0.014  0.957  0.654
O  0.758  0.299  0.243
Bi  0.986  0.043  0.346
O  0.303  0.801  0.017
Bi  0.514  0.543  0.346
O  0.258  0.299  0.257

E_tot: -5.65 eV per atom
Symmetry: Pbca
ΔE to the lowest computed polymorph: 72 meV/atom
Volume: 404.8 Å³/cell

The following is a PBE-GGA calculation of crystalline LaNb2Ge2 at its relaxed geometry, from OQMD via LeMat-Bulk.

Unit cell a=6.786 b=6.786 c=6.786 alpha=144.51 beta=144.51 gamma=51.07
Atoms (fractional coordinates):
Ge  0.393  0.393  0.000
Nb  0.250  0.750  0.500
Ge  0.607  0.607  0.000
Nb  0.750  0.250  0.500
La  0.000  0.000  0.000

E_tot: -7.48 eV per atom
Symmetry: I4/mmm
Volume: 104.8 Å³/cell

The following is a PBE-GGA calculation of crystalline HfTaTl at its relaxed geometry, from OQMD via LeMat-Bulk.

Unit cell a=4.661 b=4.661 c=4.661 alpha=60.00 beta=60.00 gamma=60.00
Atoms (fractional coordinates):
Ta  0.750  0.750  0.750
Tl  0.000  0.000  0.000
Hf  0.250  0.250  0.250

E_tot: -7.14 eV per atom
Symmetry: F-43m
ΔE to the lowest computed polymorph: 0 meV/atom
Volume: 71.6 Å³/cell

The following is a PBE-GGA calculation of crystalline AlOsAu2 at its relaxed geometry, from OQMD via LeMat-Bulk.

Unit cell a=4.501 b=4.501 c=4.501 alpha=60.00 beta=60.00 gamma=60.00
Atoms (fractional coordinates):
Au  0.000  0.000  0.000
Au  0.750  0.750  0.750
Al  0.500  0.500  0.500
Os  0.250  0.250  0.250

E_tot: -5.13 eV per atom
Symmetry: F-43m
Volume: 64.5 Å³/cell

The following is a PBE-GGA calculation of crystalline AlCdInTeSe3 at its relaxed geometry, from OQMD via LeMat-Bulk.

Unit cell a=5.930 b=5.981 c=7.141 alpha=113.35 beta=113.82 gamma=90.99
Atoms (fractional coordinates):
Se  0.915  0.881  0.260
Se  0.341  0.377  0.260
Cd  0.510  0.495  0.004
In  0.740  0.238  0.494
Te  0.129  0.664  0.727
Al  0.995  0.013  0.008
Se  0.619  0.083  0.747

E_tot: -3.62 eV per atom
Symmetry: P1
Volume: 207.9 Å³/cell

The following is a PBE-GGA calculation of crystalline ZnBiTe2 at its relaxed geometry, from OQMD via LeMat-Bulk.

Unit cell a=5.362 b=5.362 c=5.362 alpha=60.00 beta=60.00 gamma=60.00
Atoms (fractional coordinates):
Te  0.000  0.000  0.000
Bi  0.500  0.500  0.500
Zn  0.250  0.250  0.250
Te  0.750  0.750  0.750

E_tot: -2.63 eV per atom
Symmetry: F-43m
Volume: 109.0 Å³/cell

Which value of E_tot does entry 1 give?
-6.47 eV per atom

Which formula does entry 5 have?
Er3Mg3CdAu2

What is the E_tot in the third record?
-4.30 eV per atom